1.
A plane-wave DFT calculation with meta-GGA SCAN was carried out for a PBEsol-optimized structure of SrZrRe3.

Results
- Calculated volume: 101.80 Å³/cell
- Calculated total energy: -50.017 eV per atom
- Space-group type: Pm-3m (221)
- Crystal system: cubic

Lattice parameters (Å, degrees): 4.669 4.669 4.669 90.00 90.00 90.00
Fractional positions:
Re 0.000 0.500 0.000
Re 0.000 0.000 0.500
Re 0.500 0.000 0.000
Zr 0.500 0.500 0.500
Sr 0.000 0.000 0.000

2.
A plane-wave DFT calculation with meta-GGA SCAN was carried out for a PBEsol-optimized structure of K3Ta8O21.

Results
- Calculated volume: 879.27 Å³/cell
- Calculated total energy: -24.488 eV per atom
- Space-group type: P6_3/mcm (193)
- E_form (uncorrected): -95.108 eV per formula unit
- Crystal system: hexagonal

Lattice parameters (Å, degrees): 9.168 9.168 12.079 90.00 90.00 120.00
Fractional positions:
K 0.408 0.000 0.250
K 0.592 0.000 0.750
K 0.592 0.592 0.250
K 0.408 0.408 0.750
K 0.000 0.592 0.750
K 0.000 0.408 0.250
Ta 0.247 0.000 0.906
Ta 0.247 0.000 0.594
Ta 0.753 0.000 0.094
Ta 0.753 0.000 0.406
Ta 0.333 0.667 0.000
Ta 0.333 0.667 0.500
Ta 0.753 0.753 0.594
Ta 0.753 0.753 0.906
Ta 0.000 0.753 0.406
Ta 0.000 0.753 0.094
Ta 0.247 0.247 0.406
Ta 0.247 0.247 0.094
Ta 0.667 0.333 0.000
Ta 0.667 0.333 0.500
Ta 0.000 0.247 0.906
Ta 0.000 0.247 0.594
O 0.198 0.000 0.425
O 0.198 0.000 0.075
O 0.207 0.000 0.750
O 0.313 0.832 0.595
O 0.313 0.832 0.905
O 0.793 0.000 0.250
O 0.168 0.687 0.405
O 0.168 0.687 0.095
O 0.802 0.000 0.925
O 0.802 0.000 0.575
O 0.519 0.832 0.405
O 0.519 0.832 0.095
O 0.519 0.687 0.595
O 0.519 0.687 0.905
O 0.802 0.802 0.425
O 0.802 0.802 0.075
O 0.168 0.481 0.905
O 0.168 0.481 0.595
O 0.793 0.793 0.750
O 0.313 0.481 0.095
O 0.313 0.481 0.405
O 0.000 0.802 0.575
O 0.000 0.802 0.925
O 0.000 0.793 0.250
O 0.687 0.519 0.595
O 0.687 0.519 0.905
O 0.207 0.207 0.250
O 0.832 0.519 0.405
O 0.832 0.519 0.095
O 0.198 0.198 0.925
O 0.198 0.198 0.575
O 0.481 0.313 0.405
O 0.481 0.313 0.095
O 0.481 0.168 0.905
O 0.481 0.168 0.595
O 0.832 0.313 0.905
O 0.832 0.313 0.595
O 0.687 0.168 0.095
O 0.687 0.168 0.405
O 0.000 0.207 0.750
O 0.000 0.198 0.075
O 0.000 0.198 0.425

3.
A plane-wave DFT calculation with meta-GGA SCAN was carried out for a PBEsol-optimized structure of Ca3Mg.

Results
- Calculated volume: 140.75 Å³/cell
- Calculated total energy: -8.486 eV per atom
- Space-group type: Pm-3m (221)
- Crystal system: cubic

Lattice parameters (Å, degrees): 5.202 5.202 5.202 90.00 90.00 90.00
Fractional positions:
Ca 0.000 0.000 0.500
Ca 0.000 0.500 0.000
Ca 0.500 0.000 0.000
Mg 0.500 0.500 0.500

4.
A plane-wave DFT calculation with meta-GGA SCAN was carried out for a PBEsol-optimized structure of TlInTe2.

Results
- Calculated volume: 113.58 Å³/cell
- Calculated total energy: -45.078 eV per atom
- Space-group type: Imm2 (44)
- E_form (uncorrected): -0.064 eV per formula unit
- Crystal system: orthorhombic

Lattice parameters (Å, degrees): 3.762 5.644 6.335 116.45 107.27 90.00
Fractional positions:
In 0.264 0.764 0.528
Te 0.995 0.995 0.991
Te 0.736 0.236 0.471
Tl 0.505 0.505 0.010

5.
A plane-wave DFT calculation with meta-GGA SCAN was carried out for a PBEsol-optimized structure of Sc3Au2.

Results
- Calculated volume: 106.67 Å³/cell
- Calculated total energy: -37.055 eV per atom
- Space-group type: P-3m1 (164)
- Crystal system: trigonal

Lattice parameters (Å, degrees): 4.641 4.641 5.718 90.00 90.00 120.00
Fractional positions:
Au 0.333 0.667 0.830
Au 0.667 0.333 0.170
Sc 0.000 0.000 0.000
Sc 0.333 0.667 0.343
Sc 0.667 0.333 0.657

6.
A plane-wave DFT calculation with meta-GGA SCAN was carried out for a PBEsol-optimized structure of SrAl3Bi.

Results
- Calculated volume: 170.66 Å³/cell
- Calculated total energy: -24.182 eV per atom
- Space-group type: Pm-3m (221)
- Crystal system: cubic

Lattice parameters (Å, degrees): 5.547 5.547 5.547 90.00 90.00 90.00
Fractional positions:
Sr 0.500 0.500 0.500
Bi 0.000 0.000 0.000
Al 0.000 0.500 0.000
Al 0.000 0.000 0.500
Al 0.500 0.000 0.000

7.
A plane-wave DFT calculation with meta-GGA SCAN was carried out for a PBEsol-optimized structure of RbSbO2F.

Results
- Calculated volume: 88.92 Å³/cell
- Calculated total energy: -14.505 eV per atom
- Space-group type: P4/mmm (123)
- E_form (uncorrected): 1.476 eV per formula unit
- Crystal system: tetragonal

Lattice parameters (Å, degrees): 4.395 4.395 4.605 90.00 90.00 90.00
Fractional positions:
Sb 0.500 0.500 0.500
O 0.000 0.500 0.000
O 0.500 0.000 0.000
Rb 0.000 0.000 0.000
F 0.000 0.000 0.500

8.
A plane-wave DFT calculation with meta-GGA SCAN was carried out for a PBEsol-optimized structure of Mg3CdBi.

Results
- Calculated volume: 167.17 Å³/cell
- Calculated total energy: -24.347 eV per atom
- Space-group type: Pm-3m (221)
- Crystal system: cubic

Lattice parameters (Å, degrees): 5.509 5.509 5.509 90.00 90.00 90.00
Fractional positions:
Mg 0.000 0.500 0.000
Mg 0.000 0.000 0.500
Mg 0.500 0.000 0.000
Bi 0.000 0.000 0.000
Cd 0.500 0.500 0.500

9.
A plane-wave DFT calculation with meta-GGA SCAN was carried out for a PBEsol-optimized structure of MgAg2Ru.

Results
- Calculated volume: 63.18 Å³/cell
- Calculated total energy: -25.446 eV per atom
- Space-group type: P4/mmm (123)
- Crystal system: tetragonal

Lattice parameters (Å, degrees): 3.934 3.934 4.082 90.00 90.00 90.00
Fractional positions:
Ag 0.000 0.500 0.000
Ag 0.500 0.000 0.000
Mg 0.500 0.500 0.500
Ru 0.000 0.000 0.500

10.
A plane-wave DFT calculation with meta-GGA SCAN was carried out for a PBEsol-optimized structure of TaAsCl.

Results
- Distance to the lowest polymorph of the same formula: 0.0 meV per atom
- Calculated volume: 58.55 Å³/cell
- Calculated total energy: -31.908 eV per atom
- Space-group type: I4mm (107)
- E_form (uncorrected): -0.972 eV per formula unit
- Crystal system: tetragonal

Lattice parameters (Å, degrees): 2.997 2.997 6.856 102.62 102.62 90.00
Fractional positions:
As 0.964 0.964 0.928
Cl 0.708 0.708 0.416
Ta 0.328 0.328 0.656

11.
A plane-wave DFT calculation with meta-GGA SCAN was carried out for a PBEsol-optimized structure of CaRu2Au.

Results
- Distance to the lowest polymorph of the same formula: 185.1 meV per atom
- Calculated volume: 66.48 Å³/cell
- Calculated total energy: -36.863 eV per atom
- Space-group type: Imm2 (44)
- Crystal system: orthorhombic

Lattice parameters (Å, degrees): 3.840 4.373 4.913 116.43 113.00 90.00
Fractional positions:
Au 0.491 0.491 0.983
Ca 0.258 0.758 0.516
Ru 0.021 0.021 0.042
Ru 0.729 0.229 0.459

12.
A plane-wave DFT calculation with meta-GGA SCAN was carried out for a PBEsol-optimized structure of Sr2TaTl.

Results
- Distance to the lowest polymorph of the same formula: 73.7 meV per atom
- Calculated volume: 111.08 Å³/cell
- Calculated total energy: -45.257 eV per atom
- Space-group type: Pmmm (47)
- Crystal system: orthorhombic

Lattice parameters (Å, degrees): 3.334 5.093 6.541 90.00 90.00 90.00
Fractional positions:
Sr 0.000 0.000 0.754
Sr 0.000 0.000 0.246
Ta 0.500 0.500 0.000
Tl 0.500 0.500 0.500

13.
A plane-wave DFT calculation with meta-GGA SCAN was carried out for a PBEsol-optimized structure of MgTi2SO.

Results
- Calculated volume: 82.91 Å³/cell
- Calculated total energy: -11.651 eV per atom
- Space-group type: P4/mmm (123)
- E_form (uncorrected): -5.363 eV per formula unit
- Crystal system: tetragonal

Lattice parameters (Å, degrees): 3.846 3.846 5.606 90.00 90.00 90.00
Fractional positions:
S 0.000 0.000 0.500
Mg 0.500 0.500 0.500
O 0.000 0.000 0.000
Ti 0.000 0.500 0.000
Ti 0.500 0.000 0.000

14.
A plane-wave DFT calculation with meta-GGA SCAN was carried out for a PBEsol-optimized structure of Sc2AuCl.

Results
- Distance to the lowest polymorph of the same formula: 377.9 meV per atom
- Calculated volume: 80.19 Å³/cell
- Calculated total energy: -27.189 eV per atom
- Space-group type: I-4m2 (119)
- E_form (uncorrected): -3.146 eV per formula unit
- Crystal system: tetragonal

Lattice parameters (Å, degrees): 3.768 3.768 6.244 107.56 107.56 90.00
Fractional positions:
Sc 0.000 0.000 0.000
Sc 0.750 0.250 0.500
Au 0.500 0.500 0.000
Cl 0.250 0.750 0.500

15.
A plane-wave DFT calculation with meta-GGA SCAN was carried out for a PBEsol-optimized structure of Ce2Re2Si2C.

Results
- Calculated volume: 120.65 Å³/cell
- Calculated total energy: -37.928 eV per atom
- Space-group type: C2/m (12)
- E_form (uncorrected): -4.040 eV per formula unit
- Crystal system: monoclinic

Lattice parameters (Å, degrees): 4.056 5.809 5.953 71.99 70.08 69.56
Fractional positions:
Re 0.209 0.675 0.907
Re 0.791 0.325 0.093
Si 0.142 0.399 0.317
Si 0.858 0.601 0.683
C 0.000 0.000 0.000
Ce 0.571 0.155 0.702
Ce 0.429 0.845 0.298

16.
A plane-wave DFT calculation with meta-GGA SCAN was carried out for a PBEsol-optimized structure of ZnPb3N.

Results
- Calculated volume: 145.44 Å³/cell
- Calculated total energy: -48.803 eV per atom
- Space-group type: Pm-3m (221)
- E_form (uncorrected): 6.137 eV per formula unit
- Crystal system: cubic

Lattice parameters (Å, degrees): 5.259 5.259 5.259 90.00 90.00 90.00
Fractional positions:
Pb 0.000 0.500 0.000
Pb 0.000 0.000 0.500
Pb 0.500 0.000 0.000
Zn 0.000 0.000 0.000
N 0.500 0.500 0.500

17.
A plane-wave DFT calculation with meta-GGA SCAN was carried out for a PBEsol-optimized structure of TiZnFe2N.

Results
- Calculated volume: 83.44 Å³/cell
- Calculated total energy: -13.196 eV per atom
- Space-group type: P4/mmm (123)
- E_form (uncorrected): 9.117 eV per formula unit
- Crystal system: tetragonal

Lattice parameters (Å, degrees): 4.235 4.235 4.652 90.00 90.00 90.00
Fractional positions:
Zn 0.000 0.000 0.000
N 0.500 0.500 0.500
Fe 0.000 0.500 0.000
Fe 0.500 0.000 0.000
Ti 0.000 0.000 0.500

18.
A plane-wave DFT calculation with meta-GGA SCAN was carried out for a PBEsol-optimized structure of SnTe5Pb4.

Results
- Calculated volume: 327.71 Å³/cell
- Calculated total energy: -52.875 eV per atom
- Space-group type: R-3m (166)
- E_form (uncorrected): -3.450 eV per formula unit
- Crystal system: trigonal

Lattice parameters (Å, degrees): 4.524 4.524 18.673 83.04 83.04 60.00
Fractional positions:
Sn 0.000 0.000 0.000
Te 0.302 0.302 0.095
Te 0.500 0.500 0.500
Te 0.901 0.901 0.298
Te 0.698 0.698 0.905
Te 0.099 0.099 0.702
Pb 0.399 0.399 0.803
Pb 0.800 0.800 0.601
Pb 0.200 0.200 0.399
Pb 0.601 0.601 0.197

19.
A plane-wave DFT calculation with meta-GGA SCAN was carried out for a PBEsol-optimized structure of TiTl3As.

Results
- Calculated volume: 148.84 Å³/cell
- Calculated total energy: -49.989 eV per atom
- Space-group type: Pm-3m (221)
- Crystal system: cubic

Lattice parameters (Å, degrees): 5.300 5.300 5.300 90.00 90.00 90.00
Fractional positions:
Tl 0.000 0.500 0.000
Tl 0.000 0.000 0.500
Tl 0.500 0.000 0.000
As 0.500 0.500 0.500
Ti 0.000 0.000 0.000

20.
A plane-wave DFT calculation with meta-GGA SCAN was carried out for a PBEsol-optimized structure of Ba2GaReIr.

Results
- Calculated volume: 159.10 Å³/cell
- Calculated total energy: -46.833 eV per atom
- Space-group type: P4/mmm (123)
- Crystal system: tetragonal

Lattice parameters (Å, degrees): 4.693 5.823 5.823 90.00 90.00 90.00
Fractional positions:
Re 0.000 0.000 0.000
Ir 0.500 0.000 0.000
Ba 0.000 0.000 0.500
Ba 0.000 0.500 0.000
Ga 0.500 0.500 0.500

21.
A plane-wave DFT calculation with meta-GGA SCAN was carried out for a PBEsol-optimized structure of CuAu2Cl.

Results
- Distance to the lowest polymorph of the same formula: 209.5 meV per atom
- Calculated volume: 66.69 Å³/cell
- Calculated total energy: -40.117 eV per atom
- Space-group type: I4/mmm (139)
- E_form (uncorrected): 1.022 eV per formula unit
- Crystal system: tetragonal

Lattice parameters (Å, degrees): 3.832 3.832 5.289 111.24 111.24 90.00
Fractional positions:
Au 0.750 0.250 0.500
Au 0.250 0.750 0.500
Cu 0.000 0.000 0.000
Cl 0.500 0.500 0.000

22.
A plane-wave DFT calculation with meta-GGA SCAN was carried out for a PBEsol-optimized structure of La2TaFe.

Results
- Distance to the lowest polymorph of the same formula: 14.9 meV per atom
- Calculated volume: 88.28 Å³/cell
- Calculated total energy: -42.044 eV per atom
- Space-group type: I-4m2 (119)
- Crystal system: tetragonal

Lattice parameters (Å, degrees): 4.389 4.389 5.534 113.36 113.36 90.00
Fractional positions:
Fe 0.250 0.750 0.500
La 0.000 0.000 0.000
La 0.750 0.250 0.500
Ta 0.500 0.500 0.000

23.
A plane-wave DFT calculation with meta-GGA SCAN was carried out for a PBEsol-optimized structure of Na3CoSiCO7.

Results
- Calculated volume: 292.63 Å³/cell
- Calculated total energy: -9.238 eV per atom
- Space-group type: P2_1/m (11)
- E_form (uncorrected): -26.406 eV per formula unit
- Crystal system: monoclinic

Lattice parameters (Å, degrees): 5.131 6.237 9.144 90.00 89.87 90.00
Fractional positions:
Na 0.768 0.750 0.900
Na 0.254 0.998 0.740
Na 0.254 0.502 0.740
Na 0.746 0.498 0.260
Na 0.746 0.002 0.260
Na 0.232 0.250 0.100
Co 0.786 0.250 0.648
Co 0.214 0.750 0.352
Si 0.681 0.750 0.569
Si 0.319 0.250 0.431
C 0.723 0.250 0.940
C 0.277 0.750 0.060
O 0.221 0.750 0.922
O 0.918 0.250 0.847
O 0.488 0.250 0.894
O 0.740 0.956 0.679
O 0.740 0.544 0.679
O 0.363 0.750 0.538
O 0.150 0.250 0.580
O 0.850 0.750 0.420
O 0.637 0.250 0.462
O 0.260 0.456 0.321
O 0.260 0.044 0.321
O 0.512 0.750 0.106
O 0.082 0.750 0.153
O 0.779 0.250 0.078

24.
A plane-wave DFT calculation with meta-GGA SCAN was carried out for a PBEsol-optimized structure of Si2TeP.

Results
- Distance to the lowest polymorph of the same formula: 0.0 meV per atom
- Calculated volume: 93.41 Å³/cell
- Calculated total energy: -16.552 eV per atom
- Space-group type: C2/m (12)
- E_form (uncorrected): 1.474 eV per formula unit
- Crystal system: monoclinic

Lattice parameters (Å, degrees): 3.246 5.289 5.970 79.88 74.22 72.13
Fractional positions:
P 0.000 0.500 0.500
Si 0.362 0.826 0.451
Si 0.638 0.174 0.549
Te 0.500 0.000 0.000

25.
A plane-wave DFT calculation with meta-GGA SCAN was carried out for a PBEsol-optimized structure of Al2CdCo.

Results
- Calculated volume: 57.87 Å³/cell
- Calculated total energy: -15.791 eV per atom
- Space-group type: I-4m2 (119)
- Crystal system: tetragonal

Lattice parameters (Å, degrees): 3.825 3.825 4.792 113.52 113.52 90.00
Fractional positions:
Co 0.250 0.750 0.500
Al 0.000 0.000 0.000
Al 0.750 0.250 0.500
Cd 0.500 0.500 0.000